Here is a relaxed structure of TlGe2SbBr8 from Alexandria via LeMat-Bulk. Energies are from PBE.

As for the crystal system: triclinic. The raw formation energy comes out at -0.591 eV/atom.

It has space group P-1 (No. 2), with a = 6.781 Å, b = 7.318 Å, c = 9.333 Å, α = 92.27°, β = 90.43° and γ = 94.88°. Symmetry generates all atoms from Tl at (0.000, 0.000, 0.000), Ge at (0.446, 0.556, 0.271), Sb at (0.000, 0.000, 0.500), Br at (0.222, 0.193, 0.293), Br at (0.234, 0.689, 0.472), Br at (0.270, 0.141, 0.720) and Br at (0.274, 0.648, 0.056).



Here is a relaxed structure of NaLi2Cd2 from Alexandria via LeMat-Bulk. Energies are from PBE.

The energy of formation is -74 meV/atom. The calculation puts the relative energy among the computed polymorphs at 0.37 eV/f.u. As for the crystal system: tetragonal.

It has space group I4/mmm (No. 139), with a = 4.211 Å, b = 4.211 Å, c = 13.488 Å, α = 90.00°, β = 90.00° and γ = 90.00°. Symmetry generates all atoms from Na at (0.000, 0.000, 0.000), Li at (0.000, 0.500, 0.250) and Cd at (0.000, 0.000, 0.393).



Here is a relaxed structure of NbNiS from Alexandria via LeMat-Bulk. Energies are from PBE.

The calculation puts the relative energy among the computed polymorphs at 0.38 eV/f.u. As for the crystal system: orthorhombic. The raw formation energy comes out at -0.451 eV/atom.

It has space group Cmc2_1 (No. 36), with a = 3.538 Å, b = 9.837 Å, c = 4.817 Å, α = 90.00°, β = 90.00° and γ = 90.00°. Symmetry generates all atoms from Nb at (0.000, 0.189, 0.000), Ni at (0.000, 0.467, 0.839) and S at (0.000, 0.123, 0.515).



Here is a relaxed structure of LiHS from Alexandria via LeMat-Bulk. Energies are from PBE.

The calculation puts the relative energy among the computed polymorphs at 0.00 eV/f.u. As for the crystal system: orthorhombic.

It has space group Pcca (No. 54), with a = 12.379 Å, b = 3.947 Å, c = 7.889 Å, α = 90.00°, β = 90.00° and γ = 90.00°. Symmetry generates all atoms from Li at (0.125, 0.000, 0.001), H at (0.000, 0.374, 0.250), H at (0.250, 0.500, 0.316), S at (0.000, 0.031, 0.250) and S at (0.250, 0.500, 0.487).



Here is a relaxed structure of OsRu from Alexandria via LeMat-Bulk. Energies are from PBE.

The energy of formation is 173 meV/atom. As for the crystal system: orthorhombic.

It has space group Cmcm (No. 63), with a = 2.721 Å, b = 10.038 Å, c = 4.221 Å, α = 90.00°, β = 90.00° and γ = 90.00°. Symmetry generates all atoms from Os at (0.000, 0.071, 0.250) and Ru at (0.000, 0.331, 0.250).



Here is a relaxed structure of Fe3Ir from Alexandria via LeMat-Bulk. Energies are from PBE.

The energy of formation is 74 meV/atom. As for the crystal system: trigonal.

It has space group R-3m (No. 166, hexagonal axes), with a = 2.6936 Å, b = 2.6936 Å, c = 24.5581 Å, α = 90.00°, β = 90.00° and γ = 120.00°. Symmetry generates all atoms from Fe at (0.0000, 0.0000, 0.0000), Fe at (0.0000, 0.0000, 0.2535) and Ir at (0.0000, 0.0000, 0.5000).



DFT total energy for every record listed, in sequence, given in eV per atom: -3.02 -1.47 -7.11 -3.91 -10.08 -8.49.